Entry 1:
Material: CsRbIO2
Method: DFT, PBE
State: relaxed

POSCAR file:
```
CsRbIO2
1.0
4.964 0.000 0.000
0.000 4.964 0.000
0.000 0.000 7.742
Cs Rb I O
1 1 1 2
direct
0.000 0.000 0.000 Cs
0.500 0.500 0.500 Rb
0.000 0.000 0.500 I
0.000 0.500 0.000 O
0.500 0.000 0.000 O
```

raw total energy	-2.831	eV/atom
formation energy (no corrections)	-83	kJ/mol of formula units
crystal system	tetragonal

Entry 2:
Material: Al2Pd2Pt
Method: DFT, PBE
State: relaxed

POSCAR file:
```
Al2Pd2Pt
1.0
7.115 0.000 0.000
0.000 7.115 0.000
0.000 0.000 2.960
Al Pd Pt
4 4 2
direct
0.153 0.347 0.000 Al
0.347 0.847 0.000 Al
0.653 0.153 0.000 Al
0.847 0.653 0.000 Al
0.145 0.645 0.500 Pd
0.355 0.145 0.500 Pd
0.645 0.855 0.500 Pd
0.855 0.355 0.500 Pd
0.000 0.000 0.000 Pt
0.500 0.500 0.000 Pt
```

raw total energy	-5.539	eV/atom
formation enthalpy at 0 K	-756	meV per atom
crystal system	tetragonal

Entry 3:
Material: Ir2OF
Method: DFT, PBE
State: relaxed

POSCAR file:
```
Ir2OF
1.0
-2.007 2.007 6.937
2.007 -2.007 6.937
2.007 2.007 -6.937
Ir O F
4 2 2
direct
0.038 0.625 0.913 Ir
0.375 0.288 0.413 Ir
0.712 0.125 0.087 Ir
0.875 0.962 0.587 Ir
0.000 0.000 0.000 O
0.750 0.250 0.500 O
0.250 0.750 0.500 F
0.500 0.500 0.000 F
```

raw total energy	-5.844	eV/atom
formation energy (no corrections)	114	kJ/mol of formula units
crystal system	tetragonal

Entry 4:
Material: Zr2IrPb
Method: DFT, PBE
State: relaxed

POSCAR file:
```
Zr2IrPb
1.0
-2.150 2.150 9.853
2.150 -2.150 9.853
2.150 2.150 -9.853
Zr Ir Pb
4 2 2
direct
0.121 0.625 0.996 Zr
0.375 0.371 0.496 Zr
0.629 0.125 0.004 Zr
0.875 0.879 0.504 Zr
0.000 0.000 0.000 Ir
0.750 0.250 0.500 Ir
0.250 0.750 0.500 Pb
0.500 0.500 0.000 Pb
```

raw total energy	-7.129	eV/atom
formation enthalpy at 0 K	287	meV per atom
crystal system	tetragonal

Entry 5:
Material: TlAg3Br
Method: DFT, PBE
State: relaxed

POSCAR file:
```
TlAg3Br
1.0
5.402 0.000 0.000
0.000 5.402 0.000
0.000 0.000 5.402
Tl Ag Br
1 3 1
direct
0.000 0.000 0.000 Tl
0.000 0.000 0.500 Ag
0.000 0.500 0.000 Ag
0.500 0.000 0.000 Ag
0.500 0.500 0.500 Br
```

raw total energy	-1.922	eV/atom
formation energy (no corrections)	288	kJ/mol of formula units
crystal system	cubic

Entry 6:
Material: Pa2CrIn2S6
Method: DFT, PBE
State: relaxed

POSCAR file:
```
Pa2CrIn2S6
1.0
3.344 -5.853 0.000
3.344 5.853 0.000
-2.108 0.000 7.586
Pa Cr In S
2 1 2 6
direct
0.164 0.836 0.000 Pa
0.836 0.164 0.000 Pa
0.500 0.500 0.000 Cr
0.340 0.660 0.500 In
0.660 0.340 0.500 In
0.101 0.441 0.803 S
0.245 0.245 0.189 S
0.441 0.101 0.803 S
0.559 0.899 0.197 S
0.755 0.755 0.811 S
0.899 0.559 0.197 S
```

raw total energy	-6.348	eV/atom
formation energy (no corrections)	-1059	kJ/mol of formula units
crystal system	monoclinic

Entry 7:
Material: K2YRh
Method: DFT, PBE
State: relaxed

POSCAR file:
```
K2YRh
1.0
2.933 -3.171 0.000
2.933 3.171 0.000
0.000 0.000 6.454
K Y Rh
2 1 1
direct
0.228 0.772 0.000 K
0.772 0.228 0.000 K
0.500 0.500 0.500 Y
0.000 0.000 0.500 Rh
```

raw total energy	-3.565	eV/atom
formation enthalpy at 0 K	437	meV per atom
crystal system	orthorhombic

Entry 8:
Material: PtAu2Cl
Method: DFT, PBE
State: relaxed

POSCAR file:
```
PtAu2Cl
1.0
4.667 0.000 0.000
0.000 2.929 0.000
-2.234 0.000 5.383
Pt Au Cl
1 2 1
direct
0.000 0.000 0.000 Pt
0.000 0.500 0.500 Au
0.500 0.000 0.500 Au
0.500 0.500 0.000 Cl
```

raw total energy	-3.203	eV/atom
formation energy (no corrections)	157	kJ/mol of formula units
crystal system	monoclinic

Entry 9:
Material: ZnCrAu2
Method: DFT, PBE
State: relaxed

POSCAR file:
```
ZnCrAu2
1.0
4.545 -1.550 0.000
4.545 1.550 0.000
-1.065 0.000 4.758
Zn Cr Au
1 1 2
direct
0.000 0.000 0.000 Zn
0.500 0.500 0.500 Cr
0.249 0.249 0.750 Au
0.751 0.751 0.250 Au
```

raw total energy	-4.277	eV/atom
formation enthalpy at 0 K	86	meV per atom
crystal system	monoclinic

Entry 10:
Material: Mg3Zn8Ga
Method: DFT, PBE
State: relaxed

POSCAR file:
```
Mg3Zn8Ga
1.0
2.629 1.518 8.417
-2.629 1.518 8.417
0.000 -3.036 8.417
Mg Zn Ga
3 8 1
direct
0.000 0.000 0.000 Mg
0.126 0.126 0.126 Mg
0.623 0.623 0.623 Mg
0.060 0.563 0.563 Zn
0.062 0.062 0.563 Zn
0.062 0.563 0.062 Zn
0.312 0.312 0.312 Zn
0.563 0.060 0.563 Zn
0.563 0.062 0.062 Zn
0.563 0.563 0.060 Zn
0.812 0.812 0.812 Zn
0.498 0.498 0.498 Ga
```

raw total energy	-1.570	eV/atom
formation enthalpy at 0 K	-70	meV per atom
crystal system	trigonal

Entry 11:
Material: SrAcTl
Method: DFT, PBE
State: relaxed

POSCAR file:
```
SrAcTl
1.0
0.000 4.022 4.022
4.022 0.000 4.022
4.022 4.022 0.000
Sr Ac Tl
1 1 1
direct
0.000 0.000 0.000 Sr
0.500 0.500 0.500 Ac
0.250 0.250 0.250 Tl
```

raw total energy	-2.871	eV/atom
formation enthalpy at 0 K	-153	meV per atom
crystal system	cubic

Entry 12:
Material: V2GeTe2
Method: DFT, PBE
State: relaxed

POSCAR file:
```
V2GeTe2
1.0
-2.596 2.596 3.993
2.596 -2.596 3.993
2.596 2.596 -3.993
V Ge Te
2 1 2
direct
0.119 0.119 0.000 V
0.881 0.881 0.000 V
0.500 0.500 0.000 Ge
0.250 0.750 0.500 Te
0.750 0.250 0.500 Te
```

raw total energy	-5.557	eV/atom
formation energy (no corrections)	130	kJ/mol of formula units
crystal system	tetragonal

Entry 13:
Material: Pm5DyEr2Sc
Method: DFT, PBE
State: relaxed

POSCAR file:
```
Pm5DyEr2Sc
1.0
2.668 -10.889 0.000
2.668 10.889 0.000
0.000 0.000 10.188
Pm Dy Er Sc
10 2 4 2
direct
0.000 0.000 0.000 Pm
0.000 0.000 0.500 Pm
0.126 0.874 0.750 Pm
0.220 0.780 0.439 Pm
0.221 0.779 0.063 Pm
0.499 0.501 0.250 Pm
0.501 0.499 0.750 Pm
0.779 0.221 0.563 Pm
0.780 0.220 0.939 Pm
0.874 0.126 0.250 Pm
0.101 0.899 0.250 Dy
0.899 0.101 0.750 Dy
0.384 0.616 0.502 Er
0.385 0.615 0.998 Er
0.615 0.385 0.498 Er
0.616 0.384 0.002 Er
0.286 0.714 0.751 Sc
0.714 0.286 0.251 Sc
```

raw total energy	-4.739	eV/atom
formation enthalpy at 0 K	129	meV per atom
crystal system	orthorhombic

Entry 14:
Material: CoPtPb4
Method: DFT, PBE
State: relaxed

POSCAR file:
```
CoPtPb4
1.0
0.000 4.375 4.375
4.375 0.000 4.375
4.375 4.375 0.000
Co Pt Pb
1 1 4
direct
0.000 0.000 0.000 Co
0.250 0.250 0.250 Pt
0.125 0.625 0.625 Pb
0.625 0.125 0.625 Pb
0.625 0.625 0.125 Pb
0.625 0.625 0.625 Pb
```

raw total energy	-3.714	eV/atom
formation enthalpy at 0 K	949	meV per atom
crystal system	cubic

Entry 15:
Material: LiTbGeRu
Method: DFT, PBE
State: relaxed

POSCAR file:
```
LiTbGeRu
1.0
0.000 3.237 3.237
3.237 0.000 3.237
3.237 3.237 0.000
Li Tb Ge Ru
1 1 1 1
direct
0.000 0.000 0.000 Li
0.750 0.750 0.750 Tb
0.250 0.250 0.250 Ge
0.500 0.500 0.500 Ru
```

raw total energy	-5.458	eV/atom
formation enthalpy at 0 K	-349	meV per atom
crystal system	cubic

Entry 16:
Material: Ba2Ge3PdPt4
Method: DFT, PBE
State: relaxed

POSCAR file:
```
Ba2Ge3PdPt4
1.0
4.549 0.000 0.000
0.000 4.549 0.000
0.000 0.000 10.374
Ba Ge Pd Pt
2 3 1 4
direct
0.000 0.500 0.244 Ba
0.500 0.000 0.756 Ba
0.000 0.000 0.000 Ge
0.000 0.500 0.617 Ge
0.500 0.000 0.383 Ge
0.500 0.500 0.000 Pd
0.000 0.000 0.500 Pt
0.000 0.500 0.861 Pt
0.500 0.000 0.139 Pt
0.500 0.500 0.500 Pt
```

raw total energy	-5.374	eV/atom
formation enthalpy at 0 K	-669	meV per atom
crystal system	tetragonal

Entry 17:
Material: Co2RuBr
Method: DFT, PBE
State: relaxed

POSCAR file:
```
Co2RuBr
1.0
3.041 0.000 0.000
0.000 2.984 0.000
-0.008 0.000 6.860
Co Ru Br
2 1 1
direct
0.000 0.000 0.000 Co
0.499 0.500 0.829 Co
0.999 0.000 0.623 Ru
0.997 0.500 0.313 Br
```

raw total energy	-5.743	eV/atom
formation energy (no corrections)	211	kJ/mol of formula units
crystal system	monoclinic

Entry 18:
Material: Ce3NpTl3S8
Method: DFT, PBE
State: relaxed

POSCAR file:
```
Ce3NpTl3S8
1.0
4.136 2.388 7.493
-4.136 2.388 7.493
0.000 -4.776 7.493
Ce Np Tl S
3 1 3 8
direct
0.000 0.500 0.500 Ce
0.500 0.000 0.500 Ce
0.500 0.500 0.000 Ce
0.000 0.000 0.000 Np
0.000 0.000 0.500 Tl
0.000 0.500 0.000 Tl
0.500 0.000 0.000 Tl
0.227 0.227 0.739 S
0.227 0.739 0.227 S
0.261 0.773 0.773 S
0.266 0.266 0.266 S
0.734 0.734 0.734 S
0.739 0.227 0.227 S
0.773 0.261 0.773 S
0.773 0.773 0.261 S
```

raw total energy	-6.123	eV/atom
formation energy (no corrections)	-2025	kJ/mol of formula units
crystal system	trigonal

Entry 19:
Material: TlP2PtO
Method: DFT, PBE
State: relaxed

POSCAR file:
```
TlP2PtO
1.0
4.953 0.000 0.000
0.000 4.953 0.000
0.000 0.000 3.851
Tl P Pt O
1 2 1 1
direct
0.000 0.000 0.000 Tl
0.000 0.500 0.500 P
0.500 0.000 0.500 P
0.500 0.500 0.500 Pt
0.500 0.500 0.000 O
```

raw total energy	-4.490	eV/atom
formation energy (no corrections)	167	kJ/mol of formula units
crystal system	tetragonal

Entry 20:
Material: CaCd6Cu6
Method: DFT, PBE
State: relaxed

POSCAR file:
```
CaCd6Cu6
1.0
-2.635 4.665 4.670
2.635 -4.665 4.670
2.635 4.665 -4.670
Ca Cd Cu
1 6 6
direct
0.000 0.000 0.000 Ca
0.188 0.500 0.688 Cd
0.338 0.338 0.000 Cd
0.345 0.000 0.345 Cd
0.655 0.000 0.655 Cd
0.662 0.662 0.000 Cd
0.812 0.500 0.312 Cd
0.000 0.000 0.500 Cu
0.000 0.500 0.000 Cu
0.231 0.731 0.500 Cu
0.500 0.000 0.000 Cu
0.500 0.500 0.500 Cu
0.769 0.269 0.500 Cu
```

raw total energy	-2.535	eV/atom
formation enthalpy at 0 K	-68	meV per atom
crystal system	orthorhombic